Sr2AlW (PBE, optimized geometry); SG = No. 99; mass density = 5.41 Mg/m³; energy = -4.55 eV/atom; total magnetic moment = 0.00 μB per formula unit
1.0
3.610 0.000 0.000
0.000 3.610 0.000
0.000 0.000 9.091
Sr Al W
2 1 1
Direct
0.000 0.000 0.000
0.500 0.500 0.400
0.500 0.500 0.733
0.000 0.000 0.657